Here is a geometry-optimized ReNiPO2 structure from Alexandria via LeMat-Bulk. Energies are from PBE with a Hubbard U.

Calculated values
Size of the total moment ... 0.81 μB per formula unit
DOS(E_F) ... 2.46 states/eV/f.u.
Relative energy among the computed polymorphs ... 0 meV per atom

a = 3.742 Å, b = 3.742 Å, c = 5.059 Å
α = 90.00°, β = 90.00°, γ = 90.00°
Space group P4/mmm (No. 123)
Unique sites:
Re1 0.000 0.000 0.000 [1 per cell]
Ni1 0.500 0.500 0.500 [1 per cell]
P1 0.000 0.000 0.500 [1 per cell]
O1 0.000 0.500 0.000 [2 per cell]